No. 1
{
  "formula": "CaN2Cl",
  "functional": "SCAN",
  "state": "single point on PBEsol structure",
  "cell": [[-3.7626, 0.3333, 2.3098], [-1.6394, -3.5454, 2.0847], [0.0912, -0.2067, 4.4218]],
  "species": ["Cl", "N", "Ca", "N"],
  "frac_coords": [[0.0000, 0.0000, 0.0000], [0.2500, 0.2500, 0.2500], [0.5000, 0.5000, 0.5000], [0.7500, 0.7500, 0.7500]]
}

=====

No. 2
{
  "formula": "Ca2NCl",
  "functional": "SCAN",
  "state": "single point on PBEsol structure",
  "cell": [[4.5332, 0.0000, 0.0000], [2.2666, 3.9259, 0.0000], [2.2666, 1.3086, 3.7014]],
  "species": ["Cl", "Ca", "N", "Ca"],
  "frac_coords": [[0.5000, 0.5000, 0.5000], [0.7500, 0.7500, 0.7500], [0.0000, 0.0000, 0.0000], [0.2500, 0.2500, 0.2500]]
}

=====

No. 3
{
  "formula": "Ca2NCl",
  "functional": "SCAN",
  "state": "single point on PBEsol structure",
  "cell": [[6.1631, 0.0827, 0.1214], [-2.7909, 5.4956, -0.1214], [-2.7909, -2.1213, 5.0711]],
  "species": ["Ca", "N", "Ca", "Cl", "N", "Cl", "Ca", "Ca"],
  "frac_coords": [[0.9269, 0.5519, 0.1250], [0.5000, 0.2500, 0.7500], [0.4269, 0.8750, 0.8019], [0.0000, 0.0000, 0.0000], [0.0000, 0.5000, 0.5000], [0.5000, 0.7500, 0.2500], [0.5731, 0.3750, 0.4481], [0.0731, 0.1981, 0.6250]]
}

=====

No. 4
{
  "formula": "CaN2ClO",
  "functional": "SCAN",
  "state": "single point on PBEsol structure",
  "cell": [[4.4284, 0.0000, 0.0000], [0.0000, 4.8043, 0.0000], [0.0000, 0.0000, 4.8043]],
  "species": ["N", "Ca", "O", "Cl", "N"],
  "frac_coords": [[0.0000, 0.0000, 0.5000], [0.0000, 0.0000, 0.0000], [0.5000, 0.0000, 0.0000], [0.5000, 0.5000, 0.5000], [0.0000, 0.5000, 0.0000]]
}

=====

No. 5
{
  "formula": "CaPd2NCl",
  "functional": "SCAN",
  "state": "single point on PBEsol structure",
  "cell": [[4.3644, 0.0000, 0.0000], [0.0000, 4.3644, 0.0000], [0.0000, 0.0000, 5.3521]],
  "species": ["Pd", "Pd", "Ca", "Cl", "N"],
  "frac_coords": [[0.0000, 0.5000, 0.0000], [0.5000, 0.0000, 0.0000], [0.0000, 0.0000, 0.5000], [0.0000, 0.0000, 0.0000], [0.5000, 0.5000, 0.5000]]
}

=====

No. 6
{
  "formula": "Sr3CaN2Cl2",
  "functional": "SCAN",
  "state": "single point on PBEsol structure",
  "cell": [[-3.0955, 0.6907, 2.0795], [-2.3206, -5.9705, -1.4713], [5.0831, -1.9485, 4.7553]],
  "species": ["Ca", "Sr", "Cl", "Cl", "Sr", "N", "Sr", "N"],
  "frac_coords": [[0.6601, 0.8891, 0.3203], [0.3466, 0.1142, 0.6931], [0.0051, 0.9918, 0.0103], [0.5005, 0.5090, 0.0010], [0.1500, 0.3822, 0.3001], [0.2457, 0.7550, 0.4915], [0.8439, 0.6159, 0.6879], [0.7480, 0.2427, 0.4959]]
}

=====

no.,uncorrected energy (eV per atom),raw formation energy (meV per atom)
1,-8.197,859
2,-10.290,-1141
3,-10.718,-1569
4,-7.438,1053
5,-17.973,524
6,-15.568,-1689